Here is a relaxed structure of ZrSiAs2 from Alexandria via LeMat-Bulk. Energies are from PBEsol.

Computed properties:
As for the excess energy over the best structure of this formula in the dataset: 0.00 eV/f.u. The calculation puts the energy relative to the elements, uncorrected at -0.705 eV per atom. The value obtained for the calculated volume is 72.3 Å³/cell. The space group is No. 6. The calculation puts the total magnetization at 0.0 μB/f.u.

a = 3.7407 Å, b = 3.7912 Å, c = 5.4323 Å
α = 110.14°, β = 90.00°, γ = 90.00°
Fractional coordinates of all 4 atoms:
Zr: 0.5000 0.4230 0.7890
As: 0.5000 0.7400 0.3652
Si: 0.0000 0.3378 0.3994
As: 0.0000 0.9992 0.9464